# TlSbPbBr6

A relaxed structure of TlSbPbBr6 (PBE, Alexandria).

Fermi-level density of states, states/eV per atom: 0.000
Raw total energy, eV/cell: -54.396

Structure (CIF):
```
data_TlSbPbBr6
_chemical_formula_sum 'Tl2 Sb2 Pb2 Br12'
_space_group_name_H-M_alt 'P 1'
_space_group_IT_number 1
_cell_length_a 7.609
_cell_length_b 7.609
_cell_length_c 14.422
_cell_angle_alpha 90.00
_cell_angle_beta 90.00
_cell_angle_gamma 120.00
loop_
_space_group_symop_operation_xyz
'x,y,z'
loop_
_atom_site_label
_atom_site_fract_x
_atom_site_fract_y
_atom_site_fract_z
_atom_site_occupancy
Br1 0.978 0.625 0.366 1
Br2 0.375 0.022 0.134 1
Br3 0.022 0.375 0.634 1
Br4 0.625 0.648 0.634 1
Br5 0.648 0.625 0.134 1
Sb1 0.333 0.667 0.750 1
Br6 0.625 0.978 0.866 1
Tl1 0.000 0.000 0.500 1
Br7 0.648 0.022 0.366 1
Tl2 0.000 0.000 0.000 1
Br8 0.978 0.352 0.134 1
Br9 0.352 0.978 0.634 1
Br10 0.375 0.352 0.366 1
Pb1 0.667 0.333 0.750 1
Pb2 0.333 0.667 0.250 1
Sb2 0.667 0.333 0.250 1
Br11 0.022 0.648 0.866 1
Br12 0.352 0.375 0.866 1
```

# LuHfPa2

A relaxed structure of LuHfPa2 (PBE, Alexandria).

Fermi-level density of states, states/eV per atom: 1.897
Energy above the lowest structure with this stoichiometry, meV/atom: 14
Formation energy from the elements, eV per atom: 0.183

Structure (CIF):
```
data_LuHfPa2
_chemical_formula_sum 'Lu1 Hf1 Pa2'
_space_group_name_H-M_alt 'P 1'
_space_group_IT_number 1
_cell_length_a 4.947
_cell_length_b 4.507
_cell_length_c 4.507
_cell_angle_alpha 90.00
_cell_angle_beta 90.00
_cell_angle_gamma 90.00
loop_
_space_group_symop_operation_xyz
'x,y,z'
loop_
_atom_site_label
_atom_site_fract_x
_atom_site_fract_y
_atom_site_fract_z
_atom_site_occupancy
Hf1 0.500 0.000 0.000 1
Pa1 0.000 0.500 0.000 1
Pa2 0.000 0.000 0.500 1
Lu1 0.500 0.500 0.500 1
```

# Nd4Si2I5

A relaxed structure of Nd4Si2I5 (PBE, Alexandria).

Fermi-level density of states, states/eV per atom: 0.385
Raw total energy, eV/cell: -48.690

Structure (CIF):
```
data_Nd4Si2I5
_chemical_formula_sum 'Nd4 Si2 I5'
_space_group_name_H-M_alt 'P 1'
_space_group_IT_number 1
_cell_length_a 4.340
_cell_length_b 8.743
_cell_length_c 11.325
_cell_angle_alpha 112.71
_cell_angle_beta 101.05
_cell_angle_gamma 90.00
loop_
_space_group_symop_operation_xyz
'x,y,z'
loop_
_atom_site_label
_atom_site_fract_x
_atom_site_fract_y
_atom_site_fract_z
_atom_site_occupancy
I1 0.169 0.395 0.338 1
Nd1 0.687 0.687 0.373 1
I2 0.831 0.058 0.662 1
I3 0.831 0.605 0.662 1
I4 0.169 0.942 0.338 1
Nd2 0.313 0.313 0.627 1
Nd3 0.000 0.292 0.000 1
Si1 0.445 0.445 0.891 1
Nd4 0.000 0.708 0.000 1
I5 0.500 0.000 0.000 1
Si2 0.555 0.555 0.109 1
```

# VTe2N2

A relaxed structure of VTe2N2 (PBE, Alexandria).

Fermi-level density of states, states/eV per atom: 0.667
Energy above the lowest structure with this stoichiometry, meV/atom: 0

Structure (CIF):
```
data_VTe2N2
_chemical_formula_sum 'V1 Te2 N2'
_space_group_name_H-M_alt 'P 1'
_space_group_IT_number 1
_cell_length_a 3.982
_cell_length_b 3.982
_cell_length_c 5.846
_cell_angle_alpha 90.00
_cell_angle_beta 90.00
_cell_angle_gamma 90.00
loop_
_space_group_symop_operation_xyz
'x,y,z'
loop_
_atom_site_label
_atom_site_fract_x
_atom_site_fract_y
_atom_site_fract_z
_atom_site_occupancy
N1 0.000 0.500 0.000 1
Te1 0.000 0.000 0.500 1
N2 0.500 0.000 0.000 1
V1 0.000 0.000 0.000 1
Te2 0.500 0.500 0.500 1
```